(1)
First-principles (GGA-PBE) data for an optimized crystal structure of KCd4Se, as listed in the Alexandria database.

Cell and atoms, written as POSCAR:
```
KCd4Se
1.0
0.0000 4.3394 4.3394
4.3394 0.0000 4.3394
4.3394 4.3394 0.0000
Cd K Se
4 1 1
Direct
0.3738 0.8785 0.3738
0.3738 0.3738 0.8785
0.8785 0.3738 0.3738
0.3738 0.3738 0.3738
0.7500 0.7500 0.7500
0.0000 0.0000 0.0000
```

Calculated values
Formation energy without anion corrections ... -0.046 eV per atom

=====

(2)
First-principles (GGA-PBE) data for an optimized crystal structure of SrLuZnGe, as listed in the Alexandria database.

Cell and atoms, written as POSCAR:
```
SrLuZnGe
1.0
-4.2680 2.8518 -0.6698
-4.5622 -2.3150 -0.7898
-3.6360 0.1215 3.6826
Zn Ge Sr Lu
1 1 1 1
Direct
0.7500 0.7500 0.7500
0.2500 0.2500 0.2500
0.5000 0.5000 0.5000
0.0000 0.0000 0.0000
```

Calculated values
ΔH_f (0 K) ... -7.778 kcal/mol of atoms

=====

(3)
First-principles (GGA-PBE) data for an optimized crystal structure of Ti2TcH4, as listed in the Alexandria database.

Cell and atoms, written as POSCAR:
```
Ti2TcH4
1.0
-3.4701 4.2631 -0.1685
-3.0614 -2.3321 3.9287
5.3650 0.8564 0.8422
H Ti Tc
8 4 2
Direct
0.3943 0.1315 0.2630
0.8557 0.6185 0.2370
0.3814 0.6186 0.7631
0.8686 0.1314 0.7370
0.3815 0.6186 0.2369
0.8685 0.6056 0.7369
0.8685 0.1314 0.2631
0.3815 0.1444 0.7631
0.6250 0.8750 0.2500
0.6250 0.3750 0.7500
0.1250 0.3750 0.7500
0.6250 0.3750 0.2500
0.0002 0.9998 0.0000
0.2498 0.7502 0.5000
```

Calculated values
Electronic total energy ... -41.0 eV/f.u.

=====

(4)
First-principles (GGA-PBE) data for an optimized crystal structure of Hg4C23, as listed in the Alexandria database.

Cell and atoms, written as POSCAR:
```
Hg4C23
1.0
7.6033 0.0000 0.0000
0.0000 7.6033 0.0000
0.0000 0.0000 7.6033
C Hg
46 8
Direct
0.6884 0.6884 0.3116
0.8116 0.8116 0.8116
0.5000 0.7129 0.7775
0.3116 0.3116 0.6884
0.8116 0.1884 0.8116
0.7871 0.0000 0.2775
0.1884 0.8116 0.8116
0.6884 0.3116 0.3116
0.2225 0.5000 0.2871
0.2129 0.0000 0.7225
0.7871 0.0000 0.7225
0.8116 0.8116 0.1884
0.7775 0.5000 0.7129
0.3116 0.3116 0.3116
0.7500 0.0000 0.5000
0.6884 0.6884 0.6884
0.2871 0.7775 0.5000
0.8116 0.1884 0.1884
0.0000 0.2775 0.2129
0.3116 0.6884 0.3116
0.5000 0.7129 0.2225
0.2225 0.5000 0.7129
0.1884 0.8116 0.1884
0.7129 0.2225 0.5000
0.2775 0.2129 0.0000
0.0000 0.7225 0.2129
0.3116 0.6884 0.6884
0.7129 0.7775 0.5000
0.7225 0.7871 0.0000
0.0000 0.5000 0.2500
0.5000 0.2871 0.7775
0.2871 0.2225 0.5000
0.7775 0.5000 0.2871
0.6884 0.3116 0.6884
0.5000 0.2500 0.0000
0.2500 0.0000 0.5000
0.2129 0.0000 0.2775
0.1884 0.1884 0.8116
0.7225 0.2129 0.0000
0.5000 0.7500 0.0000
0.5000 0.2871 0.2225
0.2775 0.7871 0.0000
0.0000 0.2775 0.7871
0.0000 0.5000 0.7500
0.0000 0.7225 0.7871
0.1884 0.1884 0.1884
0.0000 0.2500 0.5000
0.5000 0.5000 0.5000
0.5000 0.0000 0.2500
0.0000 0.7500 0.5000
0.0000 0.0000 0.0000
0.7500 0.5000 0.0000
0.2500 0.5000 0.0000
0.5000 0.0000 0.7500
```

Calculated values
ΔH_f (0 K) ... 35.282 kcal/mol of atoms

=====

(5)
First-principles (GGA-PBE) data for an optimized crystal structure of Ca4Mn2Pd, as listed in the Alexandria database.

Cell and atoms, written as POSCAR:
```
Ca4Mn2Pd
1.0
-3.7289 2.6357 3.2211
-0.0970 -4.3787 3.4707
3.5353 2.0878 7.2316
Ca Mn Pd
4 2 1
Direct
0.8072 0.8072 0.3856
0.5000 0.0000 0.0000
0.1928 0.1928 0.6144
0.0000 0.5000 0.0000
0.4079 0.4079 0.1842
0.5921 0.5921 0.8158
0.0000 0.0000 0.0000
```

Calculated values
ΔH_f (0 K) ... 7.057 kcal/mol of atoms

=====

(6)
First-principles (GGA-PBE) data for an optimized crystal structure of YScTeI2, as listed in the Alexandria database.

Cell and atoms, written as POSCAR:
```
YScTeI2
1.0
5.9145 0.0000 0.0000
0.0000 5.9145 0.0000
0.0000 0.0000 5.9599
I Y Te Sc
2 1 1 1
Direct
0.0000 0.5000 0.0000
0.5000 0.0000 0.0000
0.0000 0.0000 0.0000
0.0000 0.0000 0.5000
0.5000 0.5000 0.5000
```

Calculated values
Relative energy among the computed polymorphs ... 0.41 eV/f.u.
Formation energy without anion corrections ... -0.397 eV per atom

=====

(7)
First-principles (GGA-PBE) data for an optimized crystal structure of Ca2GePd3, as listed in the Alexandria database.

Cell and atoms, written as POSCAR:
```
Ca2GePd3
1.0
5.2849 0.0042 0.0031
2.2626 4.7761 0.0031
2.2626 1.4330 4.5561
Ca Ge Pd
2 1 3
Direct
0.8721 0.8721 0.8721
0.1279 0.1279 0.1279
0.5000 0.5000 0.5000
0.0000 0.5000 0.5000
0.5000 0.0000 0.5000
0.5000 0.5000 0.0000
```

Calculated values
Relative energy among the computed polymorphs ... 0.00 eV/f.u.
ΔH_f (0 K) ... -18.186 kcal/mol of atoms

=====

(8)
First-principles (GGA-PBE) data for an optimized crystal structure of LaCuIr2, as listed in the Alexandria database.

Cell and atoms, written as POSCAR:
```
LaCuIr2
1.0
-0.6164 1.3918 -4.8092
-4.8813 1.0446 -0.7263
3.2381 1.5990 3.5218
Cu Ir La
1 2 1
Direct
0.7500 0.2500 0.5000
0.5000 0.5000 0.0000
0.0000 0.0000 0.0000
0.2500 0.7500 0.5000
```

Calculated values
Relative energy among the computed polymorphs ... 1.52 eV/f.u.
ΔH_f (0 K) ... -0.405 kcal/mol of atoms

=====

(9)
First-principles (GGA-PBE) data for an optimized crystal structure of Ho6CdCu2, as listed in the Alexandria database.

Cell and atoms, written as POSCAR:
```
Ho6CdCu2
1.0
7.9580 -0.0347 -2.8594
-4.2480 6.9118 -2.3850
-0.0467 0.0347 8.4559
Ho Cu Cd
12 4 2
Direct
0.1967 0.7599 0.9566
0.8033 0.2401 0.0434
0.1967 0.2401 0.4368
0.9006 0.7165 0.1842
0.4677 0.2835 0.1842
0.6972 0.0188 0.3216
0.6972 0.3756 0.6784
0.3028 0.9812 0.6784
0.3028 0.6244 0.3216
0.0993 0.2835 0.8158
0.5323 0.7165 0.8158
0.8033 0.7599 0.5632
0.5000 0.3799 0.8799
0.3524 0.0000 0.3524
0.5000 0.6201 0.1201
0.6476 0.0000 0.6476
0.0000 0.0000 0.0000
0.0000 0.5000 0.5000
```

Calculated values
ΔH_f (0 K) ... -4.196 kcal/mol of atoms

=====

(10)
First-principles (GGA-PBE) data for an optimized crystal structure of VRhBr3, as listed in the Alexandria database.

Cell and atoms, written as POSCAR:
```
VRhBr3
1.0
5.0645 0.0000 0.0000
0.0000 5.0645 0.0000
0.0000 0.0000 5.0645
Br V Rh
3 1 1
Direct
0.0000 0.5000 0.0000
0.0000 0.0000 0.5000
0.5000 0.0000 0.0000
0.5000 0.5000 0.5000
0.0000 0.0000 0.0000
```

Calculated values
Formation energy without anion corrections ... 0.370 eV per atom

=====

(11)
First-principles (GGA-PBE) data for an optimized crystal structure of Mn3ReAs, as listed in the Alexandria database.

Cell and atoms, written as POSCAR:
```
Mn3ReAs
1.0
4.1949 0.0000 0.0000
0.0000 4.1949 0.0000
0.0000 0.0000 4.1949
Mn As Re
3 1 1
Direct
0.5000 0.0000 0.0000
0.0000 0.0000 0.5000
0.0000 0.5000 0.0000
0.0000 0.0000 0.0000
0.5000 0.5000 0.5000
```

Calculated values
Relative energy among the computed polymorphs ... 0.39 eV/f.u.
ΔH_f (0 K) ... 30.970 kcal/mol of atoms

=====

(12)
First-principles (GGA-PBE) data for an optimized crystal structure of MgTl2Tc, as listed in the Alexandria database.

Cell and atoms, written as POSCAR:
```
MgTl2Tc
1.0
-1.9185 -4.1079 2.0943
2.9286 -3.9433 0.9028
1.1956 -1.1989 4.6983
Tc Tl Mg
1 2 1
Direct
0.7500 0.7500 0.7500
0.2500 0.2500 0.2500
0.0000 0.0000 0.0000
0.5000 0.5000 0.5000
```

Calculated values
Relative energy among the computed polymorphs ... 1.25 eV/f.u.
ΔH_f (0 K) ... 16.336 kcal/mol of atoms

=====

Result set for Fermi-level density of states: 2.8 2.9 5.3 7.5 7.3 6.6 1.1 3.2 18.6 11.2 9.3 3.6 states/eV/cell, one per record in the order listed.